Here is La3Zn at its PBEsol-relaxed geometry from the Alexandria database. Energies are from meta-GGA SCAN.

Structure (CIF):
```
data_La3Zn
_space_group_name_H-M_alt 'I m m m'
_space_group_IT_number 71
_space_group_name_Hall '-I 2 2'
_cell_length_a 3.764
_cell_length_b 5.476
_cell_length_c 11.547
_cell_angle_alpha 90.00
_cell_angle_beta 90.00
_cell_angle_gamma 90.00
loop_
_atom_site_label
_atom_site_type_symbol
_atom_site_fract_x
_atom_site_fract_y
_atom_site_fract_z
La1 La 0.000 0.000 0.000
La2 La 0.000 0.500 0.214
Zn1 Zn 0.000 0.000 0.500
```

***

Here is La2Zn at its PBEsol-relaxed geometry from the Alexandria database. Energies are from meta-GGA SCAN.

Structure (CIF):
```
data_La2Zn
_space_group_name_H-M_alt 'C m c m'
_space_group_IT_number 63
_space_group_name_Hall '-C 2c 2'
_cell_length_a 3.724
_cell_length_b 16.889
_cell_length_c 5.399
_cell_angle_alpha 90.00
_cell_angle_beta 90.00
_cell_angle_gamma 90.00
loop_
_atom_site_label
_atom_site_type_symbol
_atom_site_fract_x
_atom_site_fract_y
_atom_site_fract_z
La1 La 0.000 0.076 0.250
La2 La 0.000 0.223 0.750
Zn1 Zn 0.000 0.427 0.250
```

***

Number 1: energy relative to the elements -0.17 eV per atom, Fermi-level density of states 4.41 states/eV/f.u.. Number 2: energy relative to the elements -0.24 eV per atom, Fermi-level density of states 2.90 states/eV/f.u..